# Sr4InBi PBE relaxed
data_Sr4InBi
_chemical_formula_sum 'Sr8 In2 Bi2'
_space_group_name_H-M_alt 'P 1 21/m 1'
_space_group_IT_number 11
_cell_length_a 5.838
_cell_length_b 7.750
_cell_length_c 10.100
_cell_angle_alpha 90.00
_cell_angle_beta 90.06
_cell_angle_gamma 90.00
loop_
_space_group_symop_operation_xyz
'x,y,z'
'-x,-y,-z'
'-x,y+1/2,-z'
'x,-y+1/2,z'
loop_
_atom_site_label
_atom_site_fract_x
_atom_site_fract_y
_atom_site_fract_z
Sr1 0.249 0.002 0.260
Sr2 0.251 0.250 0.580
Sr3 0.251 0.750 0.911
In1 0.250 0.750 0.584
Bi1 0.249 0.250 0.920
# Formation energy: -0.5184 eV/atom
# V: 457.0 Å³ per cell
# E: -2.74 eV/atom